1.
This record from Alexandria via LeMat-Bulk describes an optimized crystal structure of Rb4CeNb3O12. The functional is PBE.

abc: 7.2845 7.2845 7.2845
angles: 109.47 109.47 109.47
Last column: magnetic moment on the atom in μB.
Positions (direct):
Rb 0.5000 0.5000 0.5000  0.00
Rb 0.0000 0.0000 0.5000  0.00
Rb 0.5000 0.0000 0.0000  0.00
Rb 0.0000 0.5000 0.0000  0.00
Ce 0.0000 0.0000 0.0000  -0.02
Nb 0.5000 0.0000 0.5000  -0.04
Nb 0.5000 0.5000 0.0000  -0.04
Nb 0.0000 0.5000 0.5000  -0.04
O 0.2500 0.5000 0.7500  0.10
O 0.7334 0.0000 0.7334  0.05
O 0.2666 0.0000 0.2666  0.05
O 0.7500 0.5000 0.2500  0.10
O 0.7334 0.7334 0.0000  0.05
O 0.2666 0.2666 0.0000  0.05
O 0.7500 0.2500 0.5000  0.10
O 0.2500 0.7500 0.5000  0.10
O 0.5000 0.2500 0.7500  0.10
O 0.0000 0.7334 0.7334  0.05
O 0.5000 0.7500 0.2500  0.10
O 0.0000 0.2666 0.2666  0.05

Results
theoretical density	5.3	g/cm3
volume	297.56	Å³ per cell
raw formation energy	-2350	meV/atom


2.
This record from Alexandria via LeMat-Bulk describes an optimized crystal structure of Rb3CeNb2O9. The functional is PBE.

abc: 5.9912 5.9912 7.3732
angles: 90.00 90.00 120.00
Last column: magnetic moment on the atom in μB.
Positions (direct):
Rb 0.3333 0.6667 0.6695  0.00
Rb 0.0000 0.0000 0.0000  0.00
Rb 0.6667 0.3333 0.3305  0.00
Ce 0.0000 0.0000 0.5000  -0.03
Nb 0.3333 0.6667 0.1645  -0.06
Nb 0.6667 0.3333 0.8355  -0.06
O 0.8238 0.1762 0.6833  0.07
O 0.8238 0.6475 0.6833  0.07
O 0.3525 0.1762 0.6833  0.07
O 0.6475 0.8238 0.3167  0.07
O 0.1762 0.3525 0.3167  0.07
O 0.1762 0.8238 0.3167  0.07
O 0.5000 0.0000 0.0000  0.18
O 0.0000 0.5000 0.0000  0.18
O 0.5000 0.5000 0.0000  0.18

Results
theoretical density	5.3	g/cm3
volume	229.20	Å³ per cell
raw formation energy	-2372	meV/atom


3.
This record from Alexandria via LeMat-Bulk describes an optimized crystal structure of RbCe2NbO8. The functional is PBE.

abc: 4.9127 4.9107 8.1232
angles: 88.88 88.88 90.20
Positions (direct):
Rb 0.0000 0.0000 0.5000
Ce 0.4885 0.4885 0.7852
Ce 0.5115 0.5115 0.2148
Nb 0.0000 0.0000 0.0000
O 0.1802 0.7889 0.1849
O 0.7082 0.7082 0.9912
O 0.7889 0.1803 0.1848
O 0.8198 0.2111 0.8151
O 0.2918 0.2918 0.0088
O 0.2111 0.8197 0.8152
O 0.6060 0.6058 0.5000
O 0.3940 0.3942 0.5000

Results
theoretical density	5.0	g/cm3
volume	195.89	Å³ per cell
raw formation energy	-2538	meV/atom


4.
This record from Alexandria via LeMat-Bulk describes an optimized crystal structure of Ce2Nb2S7O30. The functional is PBE.

abc: 7.1741 12.9073 12.9073
angles: 90.00 90.00 90.00
Positions (direct):
Ce 0.5955 0.7988 0.7012
Ce 0.4045 0.7012 0.2012
Ce 0.5955 0.2012 0.2988
Ce 0.4045 0.2988 0.7988
Nb 0.9873 0.6389 0.8611
Nb 0.0127 0.8611 0.3611
Nb 0.9873 0.3611 0.1389
Nb 0.0127 0.1389 0.6389
S 0.3444 0.5000 0.0000
S 0.6556 0.0000 0.5000
S 0.8898 0.3781 0.8781
S 0.1102 0.1219 0.3781
S 0.8898 0.6219 0.1219
S 0.1102 0.8781 0.6219
S 0.3065 0.5656 0.6774
S 0.6935 0.9344 0.1774
S 0.3065 0.4344 0.3226
S 0.6935 0.0656 0.8226
S 0.6935 0.6774 0.4344
S 0.3065 0.8226 0.9344
S 0.6935 0.3226 0.5656
S 0.3065 0.1774 0.0656
O 0.7963 0.7038 0.7962
O 0.2037 0.7962 0.2962
O 0.7963 0.2962 0.2038
O 0.2037 0.2038 0.7038
O 0.4603 0.5668 0.0668
O 0.5397 0.9332 0.5668
O 0.4603 0.4332 0.9332
O 0.5397 0.0668 0.4332
O 0.2224 0.5656 0.9344
O 0.7776 0.9344 0.4344
O 0.2224 0.4344 0.0656
O 0.7776 0.0656 0.5656
O 0.0743 0.3448 0.8448
O 0.9257 0.1552 0.3448
O 0.0743 0.6552 0.1552
O 0.9257 0.8448 0.6552
O 0.7383 0.3240 0.8240
O 0.2617 0.1760 0.3240
O 0.7383 0.6760 0.1760
O 0.2617 0.8240 0.6760
O 0.8657 0.4921 0.8585
O 0.1343 0.0079 0.3585
O 0.8657 0.5079 0.1415
O 0.1343 0.9921 0.6415
O 0.1343 0.8585 0.5079
O 0.8657 0.6415 0.0079
O 0.1343 0.1415 0.4921
O 0.8657 0.3585 0.9921
O 0.4604 0.6316 0.7172
O 0.5396 0.8684 0.2172
O 0.4604 0.3684 0.2828
O 0.5396 0.1316 0.7828
O 0.5396 0.7172 0.3684
O 0.4604 0.7828 0.8684
O 0.5396 0.2828 0.6316
O 0.4604 0.2172 0.1316
O 0.3372 0.4576 0.7149
O 0.6628 0.0424 0.2149
O 0.3372 0.5424 0.2851
O 0.6628 0.9576 0.7851
O 0.6628 0.7149 0.5424
O 0.3372 0.7851 0.0424
O 0.6628 0.2851 0.4576
O 0.3372 0.2149 0.9576
O 0.2723 0.5763 0.5691
O 0.7277 0.9237 0.0691
O 0.2723 0.4237 0.4309
O 0.7277 0.0763 0.9309
O 0.7277 0.5691 0.4237
O 0.2723 0.9309 0.9237
O 0.7277 0.4309 0.5763
O 0.2723 0.0691 0.0763
O 0.1264 0.6041 0.7347
O 0.8736 0.8959 0.2347
O 0.1264 0.3959 0.2653
O 0.8736 0.1041 0.7653
O 0.8736 0.7347 0.3959
O 0.1264 0.7653 0.8959
O 0.8736 0.2653 0.6041
O 0.1264 0.2347 0.1041

Results
theoretical density	3.3	g/cm3
volume	1195.18	Å³ per cell
raw formation energy	-1808	meV/atom


5.
This record from Alexandria via LeMat-Bulk describes an optimized crystal structure of Ce3NbS3O4. The functional is PBE.

abc: 7.0330 7.5641 14.5624
angles: 90.00 90.00 90.00
Last column: magnetic moment on the atom in μB.
Positions (direct):
Ce 0.7120 0.2467 0.1570  0.87
Ce 0.7880 0.2467 0.6570  0.87
Ce 0.7189 0.5000 0.9195  0.81
Ce 0.2120 0.2467 0.3430  0.87
Ce 0.2880 0.7533 0.8430  0.87
Ce 0.2120 0.7533 0.3430  0.87
Ce 0.2880 0.2467 0.8430  0.87
Ce 0.2189 0.5000 0.5805  0.81
Ce 0.2811 0.5000 0.0805  0.81
Ce 0.7880 0.7533 0.6570  0.87
Ce 0.7120 0.7533 0.1570  0.87
Ce 0.7811 0.5000 0.4195  0.81
Nb 0.7487 0.0000 0.4297  0.31
Nb 0.7513 0.0000 0.9297  0.31
Nb 0.2513 0.0000 0.5703  0.31
Nb 0.2487 0.0000 0.0703  0.31
S 0.5000 0.7534 0.5000  -0.02
S 0.9729 0.0000 0.7916  -0.02
S 0.0271 0.0000 0.2084  -0.02
S 0.5271 0.0000 0.2916  -0.02
S 0.0000 0.7534 0.0000  -0.02
S 0.5000 0.2466 0.5000  -0.02
S 0.0000 0.2466 0.0000  -0.02
S 0.4729 0.0000 0.7084  -0.02
S 0.5066 0.5000 0.7253  -0.02
S 0.9934 0.5000 0.2253  -0.02
S 0.0066 0.5000 0.7747  -0.02
S 0.4934 0.5000 0.2747  -0.02
O 0.6250 0.7911 0.8856  -0.01
O 0.8667 0.5000 0.5727  -0.03
O 0.3750 0.2089 0.1144  -0.01
O 0.1250 0.2089 0.6144  -0.01
O 0.3180 0.0000 0.9405  -0.01
O 0.8180 0.0000 0.5595  -0.01
O 0.1333 0.5000 0.4273  -0.03
O 0.8750 0.2089 0.3856  -0.01
O 0.1820 0.0000 0.4405  -0.01
O 0.8750 0.7911 0.3856  -0.01
O 0.3750 0.7911 0.1144  -0.01
O 0.1250 0.7911 0.6144  -0.01
O 0.6333 0.5000 0.0727  -0.03
O 0.3667 0.5000 0.9273  -0.03
O 0.6250 0.2089 0.8856  -0.01
O 0.6820 0.0000 0.0595  -0.01

Results
theoretical density	5.8	g/cm3
volume	774.69	Å³ per cell
raw formation energy	-2578	meV/atom


6.
This record from Alexandria via LeMat-Bulk describes an optimized crystal structure of CeScNbO6. The functional is PBE.

abc: 5.3657 5.3657 9.7247
angles: 90.00 90.00 120.00
Positions (direct):
Ce 0.0000 0.0000 0.0000
Ce 0.0000 0.0000 0.5000
Sc 0.6667 0.3333 0.2500
Sc 0.3333 0.6667 0.7500
Nb 0.3333 0.6667 0.2500
Nb 0.6667 0.3333 0.7500
O 0.6441 0.6579 0.1364
O 0.0139 0.3559 0.1364
O 0.3559 0.0139 0.6364
O 0.9861 0.6441 0.8636
O 0.3421 0.3559 0.3636
O 0.0139 0.6579 0.3636
O 0.6579 0.0139 0.8636
O 0.6441 0.9861 0.3636
O 0.9861 0.3421 0.6364
O 0.3421 0.9861 0.1364
O 0.6579 0.6441 0.6364
O 0.3559 0.3421 0.8636

Results
theoretical density	5.1	g/cm3
volume	242.47	Å³ per cell
raw formation energy	-3080	meV/atom


7.
This record from Alexandria via LeMat-Bulk describes an optimized crystal structure of CeNbSi2O8. The functional is PBE.

abc: 5.2966 5.2966 6.7180
angles: 90.00 90.00 120.00
Last column: magnetic moment on the atom in μB.
Positions (direct):
Ce 0.0000 0.0000 0.5000  0.91
Nb 0.0000 0.0000 0.0000  0.06
Si 0.6667 0.3333 0.2797  0.00
Si 0.3333 0.6667 0.7203  0.00
O 0.8336 0.1664 0.1899  0.00
O 0.8336 0.6673 0.1899  0.00
O 0.3327 0.1664 0.1899  0.00
O 0.6673 0.8336 0.8101  0.00
O 0.3333 0.6667 0.4826  -0.01
O 0.6667 0.3333 0.5174  -0.01
O 0.1664 0.8336 0.8101  0.00
O 0.1664 0.3327 0.8101  0.00

Results
theoretical density	4.2	g/cm3
volume	163.22	Å³ per cell
raw formation energy	-2743	meV/atom


8.
This record from Alexandria via LeMat-Bulk describes an optimized crystal structure of SrCeNb2O8. The functional is PBE.

abc: 5.3795 5.3795 6.8921
angles: 112.97 112.97 90.00
Positions (direct):
Sr 0.7500 0.2500 0.5000
Ce 0.0000 0.0000 0.0000
Nb 0.5000 0.5000 0.0000
Nb 0.2500 0.7500 0.5000
O 0.7634 0.8285 0.1648
O 0.4014 0.3363 0.1648
O 0.5896 0.6867 0.6855
O 0.0959 0.9988 0.6855
O 0.0012 0.4104 0.3145
O 0.3133 0.9041 0.3145
O 0.1715 0.5986 0.8352
O 0.6637 0.2366 0.8352

Results
theoretical density	5.4	g/cm3
volume	166.32	Å³ per cell
raw formation energy	-2904	meV/atom